A plane-wave DFT calculation with PBE-GGA was carried out for a relaxed PaMnNiS3 crystal.

```
data_PaMnNiS3
_space_group_name_H-M_alt 'P 1 21/m 1'
_space_group_IT_number 11
_space_group_name_Hall '-P 2yb'
_cell_length_a 7.209
_cell_length_b 3.694
_cell_length_c 8.112
_cell_angle_alpha 90.00
_cell_angle_beta 102.55
_cell_angle_gamma 90.00
loop_
_atom_site_label
_atom_site_type_symbol
_atom_site_fract_x
_atom_site_fract_y
_atom_site_fract_z
Pa1 Pa 0.188 0.250 0.249
Mn1 Mn 0.324 0.750 0.828
Ni1 Ni 0.095 0.250 0.591
S1 S 0.093 0.250 0.867
S2 S 0.246 0.750 0.514
S3 S 0.426 0.750 0.154
```

ΔE_f (raw) = -0.9859 eV/atom